Version a
The following is a PBE calculation of crystalline LaFeW2 at its relaxed geometry, from Alexandria via LeMat-Bulk.

abc: 2.894 4.996 5.094
angles: 90.00 98.89 90.00
Fractional coordinates of all 4 atoms:
La: 0.000 0.000 0.000
Fe: 0.500 0.000 0.500
W: 0.276 0.500 0.743
W: 0.724 0.500 0.257

Properties
Total magnetization in μB/atom: 0.510
D(E_F) in states/eV/atom: 1.29

Version b
The following is a PBE calculation of crystalline LaFeW2 at its relaxed geometry, from Alexandria via LeMat-Bulk.

abc: 3.845 3.845 10.148
angles: 90.00 90.00 90.00
Fractional coordinates of all 8 atoms:
La: 0.000 0.000 0.000
La: 0.500 0.500 0.500
Fe: 0.000 0.000 0.500
Fe: 0.500 0.500 0.000
W: 0.000 0.500 0.250
W: 0.000 0.500 0.750
W: 0.500 0.000 0.250
W: 0.500 0.000 0.750

Properties
Total magnetization in μB/atom: 0.318
D(E_F) in states/eV/atom: 1.12

Taking the most stable structure as the zero point, the relative energies in meV/atom are version a 0; version b 108.